Entry from the Alexandria database: NaFe2Au2 after structural relaxation (GGA-PBE).

The structure in extended XYZ format:
```
10
Lattice="-7.984 -0.405 -0.042 0.303 -5.369 -5.915 0.092 -1.998 1.819" Properties=species:S:1:pos:R:3 pbc="T T T"
Fe -0.636 -4.310 -2.695
Na -3.840 -2.887 -2.978
Na 0.000 0.000 0.000
Fe -6.953 -3.462 -1.443
Au -6.320 -3.995 -4.071
Au -1.361 -1.779 -1.885
Au -5.394 -1.256 -1.108
Fe -3.046 -1.740 0.251
Au -2.287 -4.518 -4.849
Fe -4.542 -6.032 -4.389
```

Output
For the offset from the most stable computed form, the calculation gives 29.3 meV per atom. The value obtained for the electronic total energy is -48.4 eV/cell. The value obtained for the density of states at the Fermi level is 8.26 states/eV per cell. The calculation puts the formation energy at 0.12 eV/atom.